Record 1
This record from the Alexandria database describes an optimized crystal structure of YThZnAu. The functional is PBE-GGA.

Calculated values
E_form   -42.2 kJ per mole of atoms
Calculated volume   392.96 Å³/cell

abc: 7.3246 7.3246 7.3246
angles: 90.00 90.00 90.00
Space group F-43m (No. 216)
Inequivalent atoms, fractional coordinates:
Y: 0.0000 0.0000 0.0000 [4 per cell]
Th: 0.0000 0.0000 0.5000 [4 per cell]
Zn: 0.2500 0.2500 0.7500 [4 per cell]
Au: 0.2500 0.2500 0.2500 [4 per cell]



Record 2
This record from the Alexandria database describes an optimized crystal structure of ThZn9Au2. The functional is PBE-GGA.

Calculated values
E_form   -14.5 kJ per mole of atoms
Calculated volume   213.16 Å³/cell

abc: 8.7636 8.7636 3.2049
angles: 90.00 90.00 120.00
Space group P6/mmm (No. 191)
Inequivalent atoms, fractional coordinates:
Th: 0.0000 0.0000 0.0000 [1 per cell]
Zn: 0.0000 0.5000 0.0000 [3 per cell]
Zn: 0.1841 0.3683 0.5000 [6 per cell]
Au: 0.3333 0.6667 0.0000 [2 per cell]



Record 3
This record from the Alexandria database describes an optimized crystal structure of Th2Zn7Au. The functional is PBE-GGA.

Calculated values
E_form   -29.9 kJ per mole of atoms
Calculated volume   192.95 Å³/cell

abc: 4.3451 4.3451 10.2200
angles: 90.00 90.00 90.00
Space group P-4m2 (No. 115)
Inequivalent atoms, fractional coordinates:
Th: 0.0000 0.5000 0.2483 [2 per cell]
Zn: 0.0000 0.0000 0.0000 [1 per cell]
Zn: 0.0000 0.5000 0.6392 [2 per cell]
Zn: 0.0000 0.5000 0.8740 [2 per cell]
Zn: 0.5000 0.5000 0.0000 [1 per cell]
Zn: 0.5000 0.5000 0.5000 [1 per cell]
Au: 0.0000 0.0000 0.5000 [1 per cell]



Number 1: magnetic moment 0.7 μB/f.u., density of states at the Fermi level 1.05 states/eV per atom. Number 2: magnetic moment 0.1 μB/f.u., density of states at the Fermi level 0.25 states/eV per atom. Number 3: magnetic moment 0.0 μB/f.u., density of states at the Fermi level 0.57 states/eV per atom.